Below is a relaxed structure of KGa2Au5, with properties calculated at the GGA-PBE level.

abc: 6.8578 6.8578 6.8578
angles: 142.91 115.85 76.49
With the nearest neighbours (Å) after each atom.
Positions (direct):
K 0.0000 0.0000 0.0000  10 Au 3.47-3.64, 4 Ga 3.52
Ga 0.2559 0.7559 0.5000  7 Au 2.54-2.82
Ga 0.7441 0.2441 0.5000  7 Au 2.54-2.82
Au 0.1632 0.3578 0.8054  3 Ga 2.54-2.82, 1 Au 2.83
Au 0.4476 0.6422 0.8054  3 Ga 2.54-2.82, 1 Au 2.83
Au 0.5000 0.0000 0.5000  2 Ga 2.63
Au 0.5524 0.3578 0.1946  3 Ga 2.54-2.82, 1 Au 2.83
Au 0.8368 0.6422 0.1946  3 Ga 2.54-2.82, 1 Au 2.83

Calculated values
The calculation puts the energy relative to the elements at -0.208 eV/atom. For the total magnetic moment, the calculation gives 0.0 μB/cell.

Below is a relaxed structure of Sc2GaSn, with properties calculated at the GGA-PBE level.

abc: 9.0834 9.0834 9.0834
angles: 21.60 21.60 21.60
With the nearest neighbours (Å) after each atom.
Positions (direct):
Sc 0.2429 0.2429 0.2429  3 Ga 2.82, 3 Sn 3.11
Sc 0.7571 0.7571 0.7571  3 Ga 2.82, 3 Sn 3.11
Ga 0.5000 0.5000 0.5000  6 Sc 2.82
Sn 0.0000 0.0000 0.0000  6 Sc 3.11, 6 Sn 3.40

Calculated values
The calculation puts the energy relative to the elements at -0.465 eV/atom. For the total magnetic moment, the calculation gives 0.0 μB/cell.

Below is a relaxed structure of CsFeSbTe2, with properties calculated at the GGA-PBE level.

abc: 5.5364 5.5364 5.1326
angles: 90.00 90.00 90.00
With the nearest neighbours (Å) after each atom.
Positions (direct):
Cs 0.0000 0.0000 0.0000  8 Te 3.77, 4 Sb 3.91
Fe 0.5000 0.5000 0.5000  2 Sb 2.57, 4 Te 2.77
Sb 0.5000 0.5000 0.0000  2 Fe 2.57
Te 0.0000 0.5000 0.5000  2 Fe 2.77
Te 0.5000 0.0000 0.5000  2 Fe 2.77

Calculated values
The calculation puts the energy relative to the elements, uncorrected at -0.033 eV/atom. For the total magnetic moment, the calculation gives 2.9 μB/cell.

Below is a relaxed structure of NaTbSe, with properties calculated at the GGA-PBE level.

abc: 5.0212 5.0212 12.2727
angles: 109.23 109.23 48.74
With the nearest neighbours (Å) after each atom.
Positions (direct):
Na 0.0976 0.0976 0.4010  1 Se 2.92
Na 0.9024 0.9024 0.5990  1 Se 2.92
Tb 0.2108 0.2108 0.1043  4 Se 2.78-2.89
Tb 0.7892 0.7892 0.8957  4 Se 2.78-2.89
Se 0.0671 0.0671 0.8523  4 Tb 2.78-2.89, 1 Na 2.92
Se 0.9329 0.9329 0.1477  4 Tb 2.78-2.89, 1 Na 2.92

Calculated values
The calculation puts the energy relative to the elements, uncorrected at -0.839 eV/atom. For the total magnetic moment, the calculation gives 0.0 μB/cell.

Below is a relaxed structure of CaBeFe2, with properties calculated at the GGA-PBE level.

abc: 4.8160 4.8160 4.8160
angles: 132.59 132.59 69.29
With the nearest neighbours (Å) after each atom.
Positions (direct):
Ca 0.0000 0.0000 0.0000  4 Be 2.74, 8 Fe 2.77
Be 0.5000 0.5000 0.0000  4 Ca 2.74, 8 Fe 2.77
Fe 0.2500 0.7500 0.5000  4 Fe 2.74, 4 Ca 2.77, 4 Be 2.77
Fe 0.7500 0.2500 0.5000  4 Fe 2.74, 4 Ca 2.77, 4 Be 2.77

Calculated values
The calculation puts the energy relative to the elements at 0.634 eV/atom. For the total magnetic moment, the calculation gives 4.4 μB/cell.

Below is a relaxed structure of ZrNbW4, with properties calculated at the GGA-PBE level.

abc: 5.3665 5.3665 5.3665
angles: 60.00 60.00 60.00
With the nearest neighbours (Å) after each atom.
Positions (direct):
Zr 0.0000 0.0000 0.0000  12 W 3.15, 4 Nb 3.29
Nb 0.2500 0.2500 0.2500  12 W 3.15, 4 Zr 3.29
W 0.1253 0.6249 0.6249  6 W 2.68-2.69
W 0.6249 0.1253 0.6249  6 W 2.68-2.69
W 0.6249 0.6249 0.1253  6 W 2.68-2.69
W 0.6249 0.6249 0.6249  6 W 2.68-2.69

Calculated values
The calculation puts the energy relative to the elements at -0.040 eV/atom. For the total magnetic moment, the calculation gives 0.0 μB/cell.

Below is a relaxed structure of Tl2InHgI5, with properties calculated at the GGA-PBE level.

abc: 11.6526 11.6526 15.0065
angles: 90.00 90.00 156.20
With the nearest neighbours (Å) after each atom.
Positions (direct):
Tl 0.1038 0.8962 0.5000  5 I 3.37-3.68
Tl 0.2223 0.7777 0.1722  3 I 3.35-3.59, 2 Hg 3.57
Tl 0.7777 0.2223 0.6722  3 I 3.35-3.59, 2 Hg 3.57
Tl 0.8962 0.1038 0.0000  5 I 3.37-3.68
In 0.4987 0.5013 0.7343  5 I 2.76-2.96
In 0.5013 0.4987 0.2343  5 I 2.76-2.96
Hg 0.2220 0.7780 0.8269  2 Tl 3.57, 3 I 3.69-3.84
Hg 0.7780 0.2220 0.3269  2 Tl 3.57, 3 I 3.69-3.84
I 0.0305 0.9695 0.8388  2 In 2.96
I 0.2509 0.7491 0.5224  3 Tl 3.35-3.37
I 0.3797 0.6203 0.1694  1 In 2.94
I 0.3834 0.6166 0.8154  1 In 2.90
I 0.4553 0.5447 0.5623  1 In 2.76
I 0.5447 0.4553 0.0623  1 In 2.76
I 0.6166 0.3834 0.3154  1 In 2.90
I 0.6203 0.3797 0.6694  1 In 2.94
I 0.7491 0.2509 0.0224  3 Tl 3.35-3.37
I 0.9695 0.0305 0.3388  2 In 2.96

Calculated values
The calculation puts the energy relative to the elements, uncorrected at -0.454 eV/atom. For the total magnetic moment, the calculation gives 0.0 μB/cell.

Below is a relaxed structure of Pr6NdY5, with properties calculated at the GGA-PBE level.

abc: 10.2442 10.2442 10.2442
angles: 145.97 136.07 56.71
With the nearest neighbours (Å) after each atom.
Positions (direct):
Pr 0.0780 0.3306 0.7474  7 Y 3.53-3.60, 1 Nd 3.62, 2 Pr 3.79-3.87
Pr 0.2447 0.0000 0.2447  6 Y 3.53-3.56, 2 Nd 3.58, 2 Pr 3.75-3.91
Pr 0.4168 0.6694 0.7474  7 Y 3.53-3.60, 1 Nd 3.62, 2 Pr 3.79-3.87
Pr 0.5832 0.3306 0.2526  7 Y 3.53-3.60, 1 Nd 3.62, 2 Pr 3.79-3.87
Pr 0.7553 0.0000 0.7553  6 Y 3.53-3.56, 2 Nd 3.58, 2 Pr 3.75-3.91
Pr 0.9220 0.6694 0.2526  7 Y 3.53-3.60, 1 Nd 3.62, 2 Pr 3.79-3.87
Nd 0.5000 0.5000 0.0000  8 Pr 3.58-3.62, 2 Y 3.83
Y 0.0000 0.5000 0.5000  8 Pr 3.54-3.60, 2 Nd 3.83
Y 0.1659 0.1659 0.0000  8 Pr 3.53-3.55, 2 Y 3.83
Y 0.3348 0.8348 0.5000  8 Pr 3.53-3.57, 2 Y 3.83
Y 0.6652 0.1652 0.5000  8 Pr 3.53-3.57, 2 Y 3.83
Y 0.8341 0.8341 0.0000  8 Pr 3.53-3.55, 2 Y 3.83

Calculated values
The calculation puts the energy relative to the elements at 0.087 eV/atom. For the total magnetic moment, the calculation gives 0.0 μB/cell. The energy above the most stable polymorph in this dataset comes out at 74 meV per atom.

Below is a relaxed structure of LiPmHg3, with properties calculated at the GGA-PBE level.

abc: 12.2271 12.2271 4.7463
angles: 101.02 101.02 19.88
With the nearest neighbours (Å) after each atom.
Positions (direct):
Li 0.1413 0.1413 0.3915  5 Hg 2.51-2.70
Li 0.8587 0.8587 0.6085  5 Hg 2.51-2.70
Pm 0.4151 0.4151 0.1651  10 Hg 3.36-3.64, 4 Li 3.44-3.45
Pm 0.5849 0.5849 0.8349  10 Hg 3.36-3.64, 4 Li 3.44-3.45
Hg 0.0351 0.0351 0.2844  1 Li 2.51
Hg 0.1954 0.1954 0.9445  2 Li 2.69-2.70
Hg 0.2983 0.2983 0.5510  2 Li 2.55
Hg 0.7017 0.7017 0.4490  2 Li 2.55
Hg 0.8046 0.8046 0.0555  2 Li 2.69-2.70
Hg 0.9649 0.9649 0.7156  1 Li 2.51

Calculated values
The calculation puts the energy relative to the elements at -0.286 eV/atom. For the total magnetic moment, the calculation gives 0.0 μB/cell. The energy above the most stable polymorph in this dataset comes out at 100 meV per atom.

Below is a relaxed structure of PmSn2Bi2, with properties calculated at the GGA-PBE level.

abc: 13.8027 13.8027 4.6364
angles: 90.00 90.00 160.47
With the nearest neighbours (Å) after each atom.
Positions (direct):
Pm 0.1565 0.8435 0.7500  8 Sn 3.30-3.45, 4 Bi 3.50-3.53
Pm 0.8435 0.1565 0.2500  8 Sn 3.30-3.45, 4 Bi 3.50-3.53
Sn 0.2506 0.7494 0.2500  8 Sn 3.30-3.54, 4 Pm 3.45
Sn 0.3469 0.6531 0.7500  4 Pm 3.30, 4 Bi 3.44-3.45, 4 Sn 3.50-3.54
Sn 0.6531 0.3469 0.2500  4 Pm 3.30, 4 Bi 3.44-3.45, 4 Sn 3.50-3.54
Sn 0.7494 0.2506 0.7500  8 Sn 3.30-3.54, 4 Pm 3.45
Bi 0.0603 0.9397 0.2500  4 Bi 3.30, 2 Sn 3.44, 2 Pm 3.50
Bi 0.4406 0.5594 0.2500  4 Bi 3.30, 2 Sn 3.45, 2 Pm 3.53
Bi 0.5594 0.4406 0.7500  4 Bi 3.30, 2 Sn 3.45, 2 Pm 3.53
Bi 0.9397 0.0603 0.7500  4 Bi 3.30, 2 Sn 3.44, 2 Pm 3.50

Calculated values
The calculation puts the energy relative to the elements at -0.360 eV/atom. For the total magnetic moment, the calculation gives 0.0 μB/cell.

Below is a relaxed structure of PmNdTlPt, with properties calculated at the GGA-PBE level.

abc: 5.3024 5.3024 5.3024
angles: 60.00 60.00 60.00
With the nearest neighbours (Å) after each atom.
Positions (direct):
Pm 0.0000 0.0000 0.0000  4 Tl 3.25, 4 Pt 3.25
Nd 0.5000 0.5000 0.5000  4 Pt 3.25, 4 Tl 3.25
Tl 0.2500 0.2500 0.2500  4 Nd 3.25, 4 Pm 3.25
Pt 0.7500 0.7500 0.7500  4 Nd 3.25, 4 Pm 3.25

Calculated values
The calculation puts the energy relative to the elements at -0.607 eV/atom. For the total magnetic moment, the calculation gives 0.0 μB/cell.

Below is a relaxed structure of LiNiSe2, with properties calculated at the GGA-PBE level.

abc: 6.6137 6.6137 6.6137
angles: 128.09 128.09 76.47
With the nearest neighbours (Å) after each atom.
Positions (direct):
Li 0.0000 0.0000 0.0000  4 Se 2.59
Li 0.7500 0.2500 0.5000  4 Se 2.59
Ni 0.2500 0.7500 0.5000  4 Se 2.28
Ni 0.5000 0.5000 0.0000  4 Se 2.28
Se 0.1695 0.6250 0.0445  2 Ni 2.28
Se 0.3750 0.4195 0.5445  2 Ni 2.28
Se 0.5805 0.1250 0.9555  2 Ni 2.28
Se 0.8750 0.8305 0.4555  2 Ni 2.28

Calculated values
The calculation puts the energy relative to the elements, uncorrected at -0.455 eV/atom. For the total magnetic moment, the calculation gives 0.0 μB/cell.